DFT (PBE-GGA) results for crystalline Si2Ag2Ru at its relaxed geometry.

a b c (Å): 6.2336 6.2336 4.1120
angles (deg): 90.00 90.00 90.00
Closest atoms and distances in Å follow each position.
Fractional coordinates of all 10 atoms:
1 Ru 0.0000 0.0000 0.0000  4 Si 2.42
2 Ru 0.5000 0.5000 0.0000  4 Si 2.42
3 Si 0.3633 0.8633 0.0000  1 Si 2.41, 2 Ru 2.42, 2 Ag 2.62
4 Si 0.8633 0.6367 0.0000  1 Si 2.41, 2 Ru 2.42, 2 Ag 2.62
5 Si 0.6367 0.1367 0.0000  1 Si 2.41, 2 Ru 2.42, 2 Ag 2.62
6 Si 0.1367 0.3633 0.0000  1 Si 2.41, 2 Ru 2.42, 2 Ag 2.62
7 Ag 0.1795 0.6795 0.5000  6 Si 2.62-2.86
8 Ag 0.6795 0.8205 0.5000  6 Si 2.62-2.86
9 Ag 0.8205 0.3205 0.5000  6 Si 2.62-2.86
10 Ag 0.3205 0.1795 0.5000  6 Si 2.62-2.86

Distance to the lowest polymorph of the same formula, eV per atom: 0.000
Calculated volume, Å³ per atom: 16.0
Density of states at the Fermi level, states/eV/cell: 8.661
Space-group type: P4/mbm